Entry 1:
A plane-wave DFT calculation with PBE-GGA was carried out for crystalline Nd4Sm3Cd2 at its relaxed geometry.

Summary:
The space-group type is C2/m (12). As for the energy: -3.9688 eV/atom.

Cell lengths 5.0538, 7.8252, 8.0321 Å; angles 108.18, 108.34, 90.00 degrees
Positions (direct):
Nd  0.5540  0.3314  0.1079
Nd  0.7778  0.6870  0.5555
Nd  0.4460  0.6686  0.8921
Nd  0.2222  0.3130  0.4445
Sm  0.8850  0.3227  0.7699
Sm  0.1150  0.6773  0.2301
Sm  0.0000  0.0000  0.0000
Cd  0.3370  0.0022  0.6741
Cd  0.6630  0.9978  0.3259

=====

Entry 2:
A plane-wave DFT calculation with PBE-GGA was carried out for crystalline Rb2HfMgV at its relaxed geometry.

Summary:
The space-group type is P4/mmm (123). As for the energy: -3.1748 eV/atom.

Cell lengths 6.7934, 4.8234, 6.7934 Å; angles 90.00, 90.00, 90.00 degrees
Last column: magnetic moment on the atom in μB.
Positions (direct):
Mg  0.5000  0.5000  0.5000  0.00
Hf  0.0000  0.5000  0.0000  0.06
Rb  0.0000  0.0000  0.5000  0.02
Rb  0.5000  0.0000  0.0000  0.02
V  0.0000  0.0000  0.0000  1.81

=====

Entry 3:
A plane-wave DFT calculation with PBE-GGA was carried out for crystalline Pm3ErSi3 at its relaxed geometry.

Summary:
The space-group type is R3m (160). The formation energy (no corrections) is -0.489 eV per atom.

Cell lengths 6.0954, 6.0954, 6.0954 Å; angles 109.03, 109.03, 109.03 degrees
Positions (direct):
Pm  0.5439  0.5439  0.1037
Pm  0.5439  0.1037  0.5439
Pm  0.1037  0.5439  0.5439
Er  0.9862  0.9862  0.9862
Si  0.5406  0.0406  0.0406
Si  0.0406  0.0406  0.5406
Si  0.0406  0.5406  0.0406

=====

Entry 4:
A plane-wave DFT calculation with PBE-GGA was carried out for crystalline Pm3Dy4Th2 at its relaxed geometry.

Summary:
The space-group type is C2/m (12). The energy above the most stable polymorph in this dataset comes out at 68 kJ/mol of formula units.

Cell lengths 5.8438, 6.3399, 9.5121 Å; angles 116.46, 107.89, 90.00 degrees
Positions (direct):
Pm  0.8733  0.3148  0.7467
Pm  0.1267  0.6852  0.2533
Pm  0.0000  0.0000  0.0000
Dy  0.5602  0.3795  0.1204
Dy  0.7698  0.6746  0.5396
Dy  0.4398  0.6205  0.8796
Dy  0.2302  0.3254  0.4604
Th  0.3531  0.9901  0.7061
Th  0.6469  0.0099  0.2939

=====

Entry 5:
A plane-wave DFT calculation with PBE-GGA was carried out for crystalline Ho5In2Ir2 at its relaxed geometry.

Summary:
The space-group type is Cmce (64). As for the energy: -5.7459 eV/atom.

Cell lengths 7.4852, 7.6297, 9.0029 Å; angles 115.07, 90.00, 90.00 degrees
Positions (direct):
Ho  0.0000  0.0000  0.0000
Ho  0.5000  0.5000  0.0000
Ho  0.8349  0.7855  0.2304
Ho  0.1651  0.4449  0.2304
Ho  0.3349  0.9449  0.2304
Ho  0.6651  0.2855  0.2304
Ho  0.1651  0.2145  0.7696
Ho  0.8349  0.5551  0.7696
Ho  0.6651  0.0551  0.7696
Ho  0.3349  0.7145  0.7696
In  0.0000  0.2203  0.4405
In  0.5000  0.7203  0.4405
In  0.0000  0.7797  0.5595
In  0.5000  0.2797  0.5595
Ir  0.6347  0.8667  0.0000
Ir  0.3653  0.1333  0.0000
Ir  0.1347  0.6333  0.0000
Ir  0.8653  0.3667  0.0000

=====

Entry 6:
A plane-wave DFT calculation with PBE-GGA was carried out for crystalline CaTl3Br6 at its relaxed geometry.

Summary:
The space-group type is R-3 (148). The formation energy (no corrections) is -1.087 eV per atom.

Cell lengths 9.1921, 9.1921, 9.1921 Å; angles 91.51, 91.51, 91.51 degrees
Positions (direct):
Ca  0.0000  0.0000  0.0000
Ca  0.5000  0.5000  0.5000
Tl  0.0876  0.5679  0.2420
Tl  0.2420  0.0876  0.5679
Tl  0.4321  0.7580  0.9124
Tl  0.5679  0.2420  0.0876
Tl  0.7580  0.9124  0.4321
Tl  0.9124  0.4321  0.7580
Br  0.0846  0.7076  0.9030
Br  0.0970  0.9154  0.2924
Br  0.1942  0.4266  0.5398
Br  0.2924  0.0970  0.9154
Br  0.4266  0.5398  0.1942
Br  0.4602  0.8058  0.5734
Br  0.5398  0.1942  0.4266
Br  0.5734  0.4602  0.8058
Br  0.7076  0.9030  0.0846
Br  0.8058  0.5734  0.4602
Br  0.9030  0.0846  0.7076
Br  0.9154  0.2924  0.0970

=====

Entry 7:
A plane-wave DFT calculation with PBE-GGA was carried out for crystalline Mg2ZrTa at its relaxed geometry.

Summary:
The space-group type is Cmmm (65). The energy above the most stable polymorph in this dataset comes out at 61 kJ/mol of formula units.

Cell lengths 5.4738, 5.4738, 2.9629 Å; angles 90.00, 90.00, 113.56 degrees
Positions (direct):
Mg  0.0000  0.0000  0.0000
Mg  0.5000  0.5000  0.0000
Ta  0.5000  0.0000  0.5000
Zr  0.0000  0.5000  0.5000

=====

Entry 8:
A plane-wave DFT calculation with PBE-GGA was carried out for crystalline Cr2PbW at its relaxed geometry.

Summary:
The space-group type is P4/mmm (123). As for the energy: -8.4523 eV/atom.

Cell lengths 3.1460, 3.1460, 6.9687 Å; angles 90.00, 90.00, 90.00 degrees
Last column: magnetic moment on the atom in μB.
Positions (direct):
Cr  0.0000  0.0000  0.9499  2.17
Cr  0.0000  0.0000  0.5501  2.17
Pb  0.5000  0.5000  0.2500  -0.01
W  0.5000  0.5000  0.7500  -0.66